# Ba3Tl2In2Hg4

A relaxed structure of Ba3Tl2In2Hg4 (GGA-PBE, Alexandria via LeMat-Bulk).

DOS(E_F) in states/eV/f.u.: 2.166
Energy relative to the elements in eV per atom: -0.3819

Lattice parameters (Å, degrees): 5.3444 5.3444 14.9197 90.00 90.00 120.00
Space group P-3m1 (No. 164)
Inequivalent atoms, fractional coordinates:
Ba  0.0000  0.0000  0.0000 (multiplicity 1)
Ba  0.0000  0.0000  0.2789 (multiplicity 2)
Tl  0.3333  0.6667  0.5631 (multiplicity 2)
In  0.3333  0.6667  0.1511 (multiplicity 2)
Hg  0.3333  0.6667  0.3623 (multiplicity 2)
Hg  0.3333  0.6667  0.8630 (multiplicity 2)